Density functional theory data (PBE) for a relaxed structure of MgZr3Sc.

a b c (Å): 3.116 4.967 31.519
angles (deg): 90.00 90.00 90.00
Space group Amm2 (No. 38)
One atom of each set of equivalent atoms:
Mg (0.000, 0.000, 0.000) x2
Mg (0.000, 0.000, 0.270) x2
Zr (0.000, 0.000, 0.364) x2
Zr (0.000, 0.000, 0.554) x2
Zr (0.000, 0.000, 0.651) x2
Zr (0.000, 0.000, 0.902) x2
Zr (0.500, 0.000, 0.092) x2
Zr (0.500, 0.000, 0.187) x2
Sc (0.500, 0.000, 0.455) x2
Sc (0.500, 0.000, 0.815) x2

Properties
electronic total energy = -6.522 eV/atom
energy of formation = 0.1919 eV per atom
total magnetic moment = 0.00 μB per cell

Density functional theory data (PBE) for a relaxed structure of Pu3MgSn4.

a b c (Å): 4.680 4.680 18.560
angles (deg): 90.00 90.00 90.00
Space group I4/mmm (No. 139)
One atom of each set of equivalent atoms:
Pu (0.000, 0.000, 0.000) x2
Pu (0.000, 0.000, 0.243) x4
Mg (0.000, 0.000, 0.500) x2
Sn (0.000, 0.500, 0.121) x8

Properties
electronic total energy = -7.916 eV/atom
energy of formation = -0.3410 eV per atom
total magnetic moment = 35.20 μB per cell

Density functional theory data (PBE) for a relaxed structure of Pa2Nb13.

a b c (Å): 7.3870 7.3870 22.5954
angles (deg): 90.00 90.00 120.00
Space group R-3m (No. 166, hexagonal axes)
One atom of each set of equivalent atoms:
Pa (0.0000, 0.0000, 0.2469) x6
Nb (0.0000, 0.0000, 0.0000) x3
Nb (0.0815, 0.5407, 0.3039) x18
Nb (0.0868, 0.5434, 0.5585) x18

Properties
electronic total energy = -9.133 eV/atom
energy of formation = 0.8598 eV per atom
total magnetic moment = 0.00 μB per cell

Calculated DOS at the Fermi energy in order - 5.67; 26.32; 21.68 states/eV/f.u.